Material: Ba8HgBi5
Method: DFT, PBE
State: relaxed

Total magnetic moment (μB/atom): 0.08
Symmetry: I-4, No. 82
Energy relative to the elements (eV/atom): -0.87
Calculated volume (Å³/f.u.): 623.79
Energy (eV per cell): -47.25

```
Ba8HgBi5
1.0
-5.378 5.378 5.391
5.378 -5.378 5.391
5.378 5.378 -5.391
Ba Hg Bi
8 1 5
direct
0.222 0.477 0.593
0.371 0.258 0.258
0.371 0.778 0.256
0.523 0.115 0.744
0.742 0.001 0.113
0.885 0.629 0.407
0.888 0.629 0.887
0.999 0.112 0.742
0.500 0.500 0.000
0.123 0.002 0.385
0.262 0.877 0.879
0.617 0.738 0.615
0.750 0.250 0.500
0.998 0.383 0.121
```

Material: Ba2Hg5Bi
Method: DFT, PBE
State: relaxed

Total magnetic moment (μB/atom): 0.00
Symmetry: Cmcm, No. 63
Energy relative to the elements (eV/atom): -0.46
Calculated volume (Å³/f.u.): 260.73
Energy (eV per cell): -25.80

```
Ba2Hg5Bi
1.0
2.646 -9.654 0.000
2.646 9.654 0.000
0.000 0.000 10.208
Ba Hg Bi
4 10 2
direct
0.000 0.000 0.000
0.000 0.000 0.500
0.211 0.789 0.750
0.789 0.211 0.250
0.182 0.818 0.103
0.182 0.818 0.397
0.340 0.660 0.029
0.340 0.660 0.471
0.398 0.602 0.750
0.602 0.398 0.250
0.660 0.340 0.529
0.660 0.340 0.971
0.818 0.182 0.603
0.818 0.182 0.897
0.447 0.553 0.250
0.553 0.447 0.750
```

Question: The highest total magnetic moment belongs to which entry?
Answer: Ba8HgBi5